(1)
ErZn2Ni9 | GGA-PBE | relaxed

Values from the calculation:
ΔE to the lowest computed polymorph = 0 meV per atom
density = 8.99 g/cm³
spin magnetization = 0.24 μB/atom
space-group type = P4/mbm (127)
formation energy = -0.23 eV/atom
crystal system = tetragonal

Unit cell a=4.7202 b=8.0412 c=8.0412 alpha=90.00 beta=90.00 gamma=90.00
Each line ends with the local moment (μB).
Positions (direct):
Er1 0.0000 0.5000 0.5000  -0.08
Er2 0.0000 0.0000 0.0000  -0.08
Zn1 0.0000 0.6181 0.1181  -0.01
Zn2 0.0000 0.3819 0.8819  -0.01
Zn3 0.0000 0.1181 0.3819  -0.01
Zn4 0.0000 0.8819 0.6181  -0.01
Ni1 0.5000 0.5000 0.0000  0.34
Ni2 0.5000 0.0000 0.5000  0.34
Ni3 0.5000 0.7087 0.5633  0.36
Ni4 0.5000 0.2913 0.4367  0.36
Ni5 0.5000 0.2087 0.9367  0.36
Ni6 0.5000 0.7913 0.0633  0.36
Ni7 0.5000 0.4367 0.7087  0.36
Ni8 0.5000 0.5633 0.2913  0.36
Ni9 0.5000 0.0633 0.2087  0.36
Ni10 0.5000 0.9367 0.7913  0.36
Ni11 0.7581 0.8211 0.3211  0.33
Ni12 0.7581 0.1789 0.6789  0.33
Ni13 0.7581 0.3211 0.1789  0.33
Ni14 0.7581 0.6789 0.8211  0.33
Ni15 0.2419 0.1789 0.6789  0.33
Ni16 0.2419 0.8211 0.3211  0.33
Ni17 0.2419 0.6789 0.8211  0.33
Ni18 0.2419 0.3211 0.1789  0.33

***

(2)
Er3Zn3Ni8 | GGA-PBE | relaxed

Values from the calculation:
density = 9.18 g/cm³
spin magnetization = 0.00 μB/atom
space-group type = Immm (71)
formation energy = -0.34 eV/atom
crystal system = orthorhombic

Unit cell a=4.0624 b=7.7145 c=7.7145 alpha=67.00 beta=74.73 gamma=74.73
Positions (direct):
Er1 0.5000 0.5000 0.5000
Er2 0.7980 0.2020 0.2020
Er3 0.2020 0.7980 0.7980
Zn1 0.5000 0.0000 0.0000
Zn2 0.0000 0.7757 0.2243
Zn3 0.0000 0.2243 0.7757
Ni1 0.6185 0.1068 0.6562
Ni2 0.3815 0.8932 0.3438
Ni3 0.6185 0.6562 0.1068
Ni4 0.3815 0.3438 0.8932
Ni5 0.8154 0.8361 0.5330
Ni6 0.1846 0.1639 0.4670
Ni7 0.8154 0.5330 0.8361
Ni8 0.1846 0.4670 0.1639

***

(3)
Er2ZnNi3 | GGA-PBE | relaxed

Values from the calculation:
ΔE to the lowest computed polymorph = 0 meV per atom
density = 10.00 g/cm³
spin magnetization = 0.00 μB/atom
space-group type = R-3m (166)
formation energy = -0.43 eV/atom
crystal system = trigonal

Unit cell a=5.2221 b=5.2221 c=5.0479 alpha=90.06 beta=121.13 gamma=119.95
Positions (direct):
Er1 0.7482 0.3741 0.1223
Er2 0.2518 0.6259 0.8777
Zn1 0.0000 0.0000 0.0000
Ni1 0.5000 0.5000 0.5000
Ni2 0.0000 0.0000 0.5000
Ni3 0.5000 0.0000 0.5000

***

(4)
ErZn3Ni8 | GGA-PBE | relaxed

Values from the calculation:
density = 8.87 g/cm³
spin magnetization = 0.08 μB/atom
space-group type = P3m1 (156)
formation energy = -0.19 eV/atom
crystal system = trigonal

Unit cell a=4.8027 b=4.8027 c=7.8057 alpha=90.00 beta=90.00 gamma=120.00
Each line ends with the local moment (μB).
Positions (direct):
Er1 0.0000 0.0000 0.5689  -0.02
Zn1 0.6667 0.3333 0.4109  0.00
Zn2 0.6667 0.3333 0.0567  0.00
Zn3 0.0000 0.0000 0.9559  0.00
Ni1 0.3333 0.6667 0.4991  0.11
Ni2 0.3333 0.6667 0.9994  0.22
Ni3 0.5028 0.0056 0.7578  0.13
Ni4 0.5028 0.4972 0.7578  0.13
Ni5 0.9944 0.4972 0.7578  0.13
Ni6 0.1648 0.3297 0.2453  0.10
Ni7 0.1648 0.8352 0.2453  0.10
Ni8 0.6703 0.8352 0.2453  0.10

***

(5)
Er2Zn2Ni15 | GGA-PBE | relaxed

Values from the calculation:
density = 9.23 g/cm³
spin magnetization = 0.20 μB/atom
space-group type = R-3m (166)
formation energy = -0.25 eV/atom
crystal system = trigonal

Unit cell a=6.2811 b=6.2811 c=6.2811 alpha=82.66 beta=82.66 gamma=82.66
Each line ends with the local moment (μB).
Positions (direct):
Er1 0.3465 0.3465 0.3465  -0.07
Er2 0.6535 0.6535 0.6535  -0.07
Zn1 0.1001 0.1001 0.1001  -0.02
Zn2 0.8999 0.8999 0.8999  -0.02
Ni1 0.5000 0.0000 0.0000  0.30
Ni2 0.0000 0.0000 0.5000  0.30
Ni3 0.0000 0.5000 0.0000  0.30
Ni4 0.0000 0.7000 0.3000  0.28
Ni5 0.7000 0.3000 0.0000  0.28
Ni6 0.3000 0.0000 0.7000  0.28
Ni7 0.3000 0.7000 0.0000  0.28
Ni8 0.7000 0.0000 0.3000  0.28
Ni9 0.0000 0.3000 0.7000  0.28
Ni10 0.1556 0.6540 0.6540  0.29
Ni11 0.6540 0.6540 0.1556  0.29
Ni12 0.6540 0.1556 0.6540  0.29
Ni13 0.8444 0.3460 0.3460  0.29
Ni14 0.3460 0.3460 0.8444  0.29
Ni15 0.3460 0.8444 0.3460  0.29

***

(6)
Er2Zn7Ni | GGA-PBE | relaxed

Values from the calculation:
density = 8.07 g/cm³
spin magnetization = 0.00 μB/atom
space-group type = P-4m2 (115)
formation energy = -0.28 eV/atom
crystal system = tetragonal

Unit cell a=4.0021 b=4.0021 c=10.9394 alpha=90.00 beta=90.00 gamma=90.00
Positions (direct):
Er1 0.5000 0.0000 0.7612
Er2 0.0000 0.5000 0.2388
Zn1 0.0000 0.5000 0.8679
Zn2 0.5000 0.0000 0.3545
Zn3 0.5000 0.0000 0.1321
Zn4 0.0000 0.5000 0.6455
Zn5 0.0000 0.0000 0.5000
Zn6 0.0000 0.0000 0.0000
Zn7 0.5000 0.5000 0.5000
Ni1 0.5000 0.5000 0.0000

***

(7)
Er2Zn5Ni4 | GGA-PBE | relaxed

Values from the calculation:
density = 8.47 g/cm³
spin magnetization = 0.00 μB/atom
space-group type = Fmmm (69)
formation energy = -0.33 eV/atom
crystal system = orthorhombic

Unit cell a=5.1230 b=5.0485 c=8.2925 alpha=80.98 beta=72.01 gamma=59.51
Positions (direct):
Er1 0.8606 0.0000 0.2788
Er2 0.1394 0.0000 0.7212
Zn1 0.5000 0.0000 0.0000
Zn2 0.0000 0.5000 0.0000
Zn3 0.5000 0.5000 0.0000
Zn4 0.2500 0.5000 0.5000
Zn5 0.7500 0.5000 0.5000
Ni1 0.4707 0.3153 0.7434
Ni2 0.5293 0.6847 0.2566
Ni3 0.2140 0.3153 0.2566
Ni4 0.7860 0.6847 0.7434

***

(8)
Er3Zn2Ni | GGA-PBE | relaxed

Values from the calculation:
density = 9.17 g/cm³
spin magnetization = 0.00 μB/atom
space-group type = P-3m1 (164)
formation energy = -0.37 eV/atom
crystal system = trigonal

Unit cell a=4.9002 b=4.9002 c=6.0190 alpha=90.00 beta=90.00 gamma=120.00
Positions (direct):
Er1 0.0000 0.0000 0.5000
Er2 0.6667 0.3333 0.8467
Er3 0.3333 0.6667 0.1533
Zn1 0.6667 0.3333 0.3487
Zn2 0.3333 0.6667 0.6513
Ni1 0.0000 0.0000 0.0000

***

(9)
ErZn9Ni2 | GGA-PBE | relaxed

Values from the calculation:
ΔE to the lowest computed polymorph = 71 meV per atom
density = 7.92 g/cm³
spin magnetization = 0.00 μB/atom
space-group type = P6/mmm (191)
formation energy = -0.17 eV/atom
crystal system = hexagonal

Unit cell a=2.9653 b=8.4455 c=8.4455 alpha=120.00 beta=90.00 gamma=90.00
Positions (direct):
Er1 0.0000 0.0000 0.0000
Zn1 0.5000 0.8117 0.1883
Zn2 0.0000 0.0000 0.5000
Zn3 0.0000 0.5000 0.5000
Zn4 0.5000 0.8117 0.6234
Zn5 0.5000 0.1883 0.8117
Zn6 0.5000 0.6234 0.8117
Zn7 0.5000 0.1883 0.3766
Zn8 0.0000 0.5000 0.0000
Zn9 0.5000 0.3766 0.1883
Ni1 0.0000 0.6667 0.3333
Ni2 0.0000 0.3333 0.6667

***

(10)
Er2Zn16Ni | GGA-PBE | relaxed

Values from the calculation:
density = 7.98 g/cm³
spin magnetization = 0.00 μB/atom
space-group type = R3m (160)
formation energy = -0.22 eV/atom
crystal system = trigonal

Unit cell a=6.7423 b=6.7423 c=6.7423 alpha=82.67 beta=82.67 gamma=82.67
Positions (direct):
Er1 0.6705 0.6705 0.6705
Er2 0.3367 0.3367 0.3367
Zn1 0.7072 0.9989 0.2910
Zn2 0.9989 0.2910 0.7072
Zn3 0.2910 0.7072 0.9989
Zn4 0.9989 0.7072 0.2910
Zn5 0.7072 0.2910 0.9989
Zn6 0.2910 0.9989 0.7072
Zn7 0.3557 0.8383 0.3557
Zn8 0.8383 0.3557 0.3557
Zn9 0.3557 0.3557 0.8383
Zn10 0.6491 0.1552 0.6491
Zn11 0.1552 0.6491 0.6491
Zn12 0.6491 0.6491 0.1552
Zn13 0.9944 0.5099 0.9944
Zn14 0.5099 0.9944 0.9944
Zn15 0.9944 0.9944 0.5099
Zn16 0.0971 0.0971 0.0971
Ni1 0.8997 0.8997 0.8997

***

(11)
Er3Zn9Ni2 | GGA-PBE | relaxed

Values from the calculation:
density = 8.43 g/cm³
spin magnetization = 0.00 μB/atom
space-group type = Immm (71)
formation energy = -0.34 eV/atom
crystal system = orthorhombic

Unit cell a=4.2552 b=7.9611 c=7.9611 alpha=68.90 beta=74.50 gamma=74.50
Positions (direct):
Er1 0.0000 0.0000 0.0000
Er2 0.6935 0.3065 0.3065
Er3 0.3065 0.6935 0.6935
Zn1 0.0000 0.5000 0.5000
Zn2 0.6597 0.9815 0.6991
Zn3 0.3403 0.0185 0.3009
Zn4 0.6597 0.6991 0.9815
Zn5 0.3403 0.3009 0.0185
Zn6 0.8745 0.8444 0.4066
Zn7 0.1255 0.1556 0.5934
Zn8 0.8745 0.4066 0.8444
Zn9 0.1255 0.5934 0.1556
Ni1 0.5000 0.3179 0.6821
Ni2 0.5000 0.6821 0.3179

***

(12)
Er2ZnNi3 | GGA-PBE | relaxed

Values from the calculation:
ΔE to the lowest computed polymorph = 37 meV per atom
density = 9.11 g/cm³
spin magnetization = 0.00 μB/atom
space-group type = Fmmm (69)
formation energy = -0.39 eV/atom
crystal system = orthorhombic

Unit cell a=5.4711 b=5.4711 c=7.9422 alpha=107.35 beta=107.35 gamma=97.72
Positions (direct):
Er1 0.2500 0.7500 0.5000
Er2 0.7534 0.7534 0.0000
Er3 0.7500 0.2500 0.5000
Er4 0.2466 0.2466 0.0000
Zn1 0.6663 0.6663 0.3325
Zn2 0.3337 0.3337 0.6675
Ni1 0.3301 0.8354 0.1655
Ni2 0.1646 0.6699 0.8345
Ni3 0.6699 0.1646 0.8345
Ni4 0.8354 0.3301 0.1655
Ni5 0.1650 0.1650 0.3300
Ni6 0.8350 0.8350 0.6700

***

(13)
Er4Zn2Ni | GGA-PBE | relaxed

Values from the calculation:
density = 8.71 g/cm³
spin magnetization = 0.00 μB/atom
space-group type = I4/mmm (139)
formation energy = -0.23 eV/atom
crystal system = tetragonal

Unit cell a=5.9677 b=5.9677 c=5.9677 alpha=109.59 beta=109.41 gamma=109.41
Positions (direct):
Er1 0.5000 0.0000 0.0000
Er2 0.5000 0.5000 0.5000
Er3 0.0000 0.0000 0.5000
Er4 0.0000 0.5000 0.0000
Zn1 0.5000 0.5000 0.0000
Zn2 0.5000 0.0000 0.5000
Ni1 0.0000 0.0000 0.0000

***

(14)
Er2Zn3Ni | GGA-PBE | relaxed

Values from the calculation:
density = 8.53 g/cm³
spin magnetization = 0.00 μB/atom
space-group type = Pmm2 (25)
formation energy = -0.39 eV/atom
crystal system = orthorhombic

Unit cell a=3.5202 b=4.3120 c=7.5604 alpha=90.00 beta=90.00 gamma=90.00
Positions (direct):
Er1 0.0000 0.5000 0.0280
Er2 0.0000 0.0000 0.4787
Zn1 0.5000 0.0000 0.8317
Zn2 0.5000 0.0000 0.1666
Zn3 0.5000 0.5000 0.6624
Ni1 0.5000 0.5000 0.3327

***

(15)
Er3Zn2Ni4 | GGA-PBE | relaxed

Values from the calculation:
density = 9.19 g/cm³
spin magnetization = 0.00 μB/atom
space-group type = C2/m (12)
formation energy = -0.46 eV/atom
crystal system = monoclinic

Unit cell a=4.1212 b=5.1621 c=8.1131 alpha=97.10 beta=90.00 gamma=113.53
Positions (direct):
Er1 0.3751 0.7501 0.6215
Er2 0.0000 0.0000 0.0000
Er3 0.6249 0.2499 0.3785
Zn1 0.3177 0.6354 0.2240
Zn2 0.6823 0.3646 0.7760
Ni1 0.7293 0.4585 0.0836
Ni2 0.0822 0.1645 0.6324
Ni3 0.9178 0.8355 0.3676
Ni4 0.2707 0.5415 0.9164

***

(16)
ErZn4Ni | GGA-PBE | relaxed

Values from the calculation:
ΔE to the lowest computed polymorph = 123 meV per atom
density = 8.44 g/cm³
spin magnetization = 0.00 μB/atom
space-group type = F-43m (216)
formation energy = -0.19 eV/atom
crystal system = cubic

Unit cell a=5.1374 b=5.1374 c=5.1374 alpha=60.00 beta=60.00 gamma=60.00
Positions (direct):
Ni1 0.0000 0.0000 0.0000
Zn1 0.6259 0.6259 0.1222
Zn2 0.6259 0.1222 0.6259
Zn3 0.6259 0.6259 0.6259
Zn4 0.1222 0.6259 0.6259
Er1 0.2500 0.2500 0.2500

***

(17)
Er3ZnNi3 | GGA-PBE | relaxed

Values from the calculation:
ΔE to the lowest computed polymorph = 156 meV per atom
density = 9.00 g/cm³
spin magnetization = 0.00 μB/atom
space-group type = P6_3/m (176)
formation energy = -0.33 eV/atom
crystal system = hexagonal

Unit cell a=4.2859 b=8.5952 c=8.5952 alpha=120.00 beta=90.00 gamma=90.00
Positions (direct):
Er1 0.7500 0.6844 0.6017
Er2 0.7500 0.3983 0.0827
Er3 0.7500 0.9173 0.3156
Er4 0.2500 0.3156 0.3983
Er5 0.2500 0.6017 0.9173
Er6 0.2500 0.0827 0.6844
Zn1 0.2500 0.6667 0.3333
Zn2 0.7500 0.3333 0.6667
Ni1 0.2500 0.8547 0.8209
Ni2 0.2500 0.1791 0.0338
Ni3 0.2500 0.9662 0.1453
Ni4 0.7500 0.1453 0.1791
Ni5 0.7500 0.8209 0.9662
Ni6 0.7500 0.0338 0.8547

***

(18)
ErZnNi6 | GGA-PBE | relaxed

Values from the calculation:
density = 9.30 g/cm³
spin magnetization = 0.12 μB/atom
space-group type = Pm-3 (200)
formation energy = 0.02 eV/atom
crystal system = cubic

Unit cell a=4.7085 b=4.7085 c=4.7085 alpha=90.00 beta=90.00 gamma=90.00
Each line ends with the local moment (μB).
Positions (direct):
Er1 0.5000 0.5000 0.5000  -0.04
Zn1 0.0000 0.0000 0.0000  -0.01
Ni1 0.5000 0.7581 0.0000  0.17
Ni2 0.7581 0.0000 0.5000  0.17
Ni3 0.0000 0.5000 0.2419  0.17
Ni4 0.2419 0.0000 0.5000  0.17
Ni5 0.5000 0.2419 0.0000  0.17
Ni6 0.0000 0.5000 0.7581  0.17

***

(19)
ErZn4Ni8 | GGA-PBE | relaxed

Values from the calculation:
density = 8.87 g/cm³
spin magnetization = 0.00 μB/atom
space-group type = I4/mmm (139)
formation energy = -0.21 eV/atom
crystal system = tetragonal

Unit cell a=4.8907 b=6.3525 c=6.3525 alpha=81.48 beta=67.36 gamma=67.36
Positions (direct):
Er1 0.0000 0.0000 0.0000
Zn1 0.0000 0.0000 0.5000
Zn2 0.5000 0.0000 0.5000
Zn3 0.0000 0.5000 0.0000
Zn4 0.5000 0.5000 0.0000
Ni1 0.0000 0.3560 0.6440
Ni2 0.0000 0.6440 0.3560
Ni3 0.3560 0.6440 0.6440
Ni4 0.6440 0.3560 0.3560
Ni5 0.5000 0.7769 0.2231
Ni6 0.5000 0.2231 0.7769
Ni7 0.2769 0.2231 0.2231
Ni8 0.7231 0.7769 0.7769

***

(20)
ErZn4Ni6 | GGA-PBE | relaxed

Values from the calculation:
density = 7.88 g/cm³
spin magnetization = 0.00 μB/atom
space-group type = I-42m (121)
formation energy = -0.05 eV/atom
crystal system = tetragonal

Unit cell a=6.2575 b=6.2575 c=6.2575 alpha=84.83 beta=123.03 gamma=123.03
Positions (direct):
Er1 0.0000 0.0000 0.0000
Zn1 0.0000 0.0960 0.5085
Zn2 0.5875 0.4915 0.4915
Zn3 0.0000 0.5085 0.0960
Zn4 0.4125 0.9040 0.9040
Ni1 0.0000 0.7387 0.4163
Ni2 0.0000 0.4163 0.7387
Ni3 0.6776 0.2613 0.2613
Ni4 0.5000 0.0000 0.5000
Ni5 0.3224 0.5837 0.5837
Ni6 0.5000 0.5000 0.0000

***

(21)
ErZn8Ni2 | GGA-PBE | relaxed

Values from the calculation:
density = 6.74 g/cm³
spin magnetization = 0.00 μB/atom
space-group type = P4/mmm (123)
formation energy = 0.11 eV/atom
crystal system = tetragonal

Unit cell a=6.2262 b=6.2262 c=5.1339 alpha=90.00 beta=90.00 gamma=90.00
Positions (direct):
Er1 0.5000 0.5000 0.5000
Zn1 0.7888 0.7888 0.2441
Zn2 0.7888 0.2112 0.7559
Zn3 0.7888 0.7888 0.7559
Zn4 0.7888 0.2112 0.2441
Zn5 0.2112 0.7888 0.2441
Zn6 0.2112 0.7888 0.7559
Zn7 0.2112 0.2112 0.2441
Zn8 0.2112 0.2112 0.7559
Ni1 0.5000 0.0000 0.0000
Ni2 0.0000 0.5000 0.0000